1.
A relaxed ErTiOs crystal. Source: the Alexandria database, functional PBE.

Output
Formation energy (eV/atom): -0.302
Symmetry: I4/mmm (139)
DOS(E_F) (states/eV/cell): 5.8

Cell: 3.192 3.192 12.121 Å, 97.57 97.57 90.00°
Sites, in units of the cell vectors:
Er1 0.577 0.577 0.153
Er2 0.423 0.423 0.847
Os1 0.846 0.846 0.692
Os2 0.154 0.154 0.308
Ti1 0.712 0.712 0.423
Ti2 0.288 0.288 0.577


2.
A relaxed ErAgSn crystal. Source: the Alexandria database, functional PBE.

Output
Formation energy (eV/atom): -0.069
Symmetry: Pmmn (59)
DOS(E_F) (states/eV/cell): 2.9

Cell: 5.153 3.488 8.473 Å, 90.00 90.00 90.00°
Sites, in units of the cell vectors:
Sn1 0.000 0.500 0.267
Sn2 0.500 0.000 0.733
Ag1 0.000 0.000 0.553
Ag2 0.500 0.500 0.447
Er1 0.000 0.000 0.929
Er2 0.500 0.500 0.071


3.
A relaxed SiHg2Rh2 crystal. Source: the Alexandria database, functional PBE.

Output
Formation energy (no corrections) (kJ/mol of atoms): -17.8
Symmetry: P4/mbm (127)
DOS(E_F) (states/eV/cell): 5.7

Cell: 6.186 6.186 4.609 Å, 90.00 90.00 90.00°
Sites, in units of the cell vectors:
Rh1 0.657 0.157 0.000
Rh2 0.157 0.343 0.000
Rh3 0.843 0.657 0.000
Rh4 0.343 0.843 0.000
Hg1 0.664 0.836 0.500
Hg2 0.336 0.164 0.500
Hg3 0.836 0.336 0.500
Hg4 0.164 0.664 0.500
Si1 0.000 0.000 0.000
Si2 0.500 0.500 0.000


4.
A relaxed Cd4Ag2Hg crystal. Source: the Alexandria database, functional PBE.

Output
Formation energy (eV/atom): 0.067
Symmetry: Fd-3m (227)
DOS(E_F) (states/eV/cell): 7.2
Relative energy among the computed polymorphs (eV per atom): 0.0348

Cell: 9.633 9.633 9.633 Å, 60.00 60.00 60.00°
Sites, in units of the cell vectors:
Cd1 0.008 0.492 0.008
Cd2 0.758 0.242 0.758
Cd3 0.625 0.125 0.625
Cd4 0.758 0.758 0.242
Cd5 0.242 0.242 0.758
Cd6 0.008 0.492 0.492
Cd7 0.492 0.008 0.008
Cd8 0.492 0.492 0.008
Cd9 0.242 0.758 0.242
Cd10 0.625 0.625 0.625
Cd11 0.008 0.008 0.492
Cd12 0.125 0.625 0.625
Cd13 0.625 0.625 0.125
Cd14 0.492 0.008 0.492
Cd15 0.758 0.242 0.242
Cd16 0.242 0.758 0.758
Hg1 0.125 0.125 0.125
Hg2 0.625 0.125 0.125
Hg3 0.125 0.625 0.125
Hg4 0.125 0.125 0.625
Ag1 0.392 0.392 0.392
Ag2 0.392 0.823 0.392
Ag3 0.858 0.858 0.858
Ag4 0.858 0.858 0.427
Ag5 0.823 0.392 0.392
Ag6 0.392 0.392 0.823
Ag7 0.427 0.858 0.858
Ag8 0.858 0.427 0.858


5.
A relaxed CaNbO2 crystal. Source: the Alexandria database, functional PBE.

Output
Formation energy (no corrections) (kJ/mol of atoms): -195.3
Symmetry: I4_1/amd (141)
DOS(E_F) (states/eV/cell): 11.6
Relative energy among the computed polymorphs (eV per atom): 0.1943

Cell: 7.264 7.264 7.264 Å, 129.52 129.52 74.17°
Site moments in Bohr magnetons follow the coordinates.
Sites, in units of the cell vectors:
Ca1 0.375 0.625 0.250  0.02
Ca2 0.375 0.125 0.750  0.02
Ca3 0.875 0.625 0.250  0.02
Ca4 0.375 0.625 0.750  0.02
Nb1 0.875 0.125 0.250  0.32
Nb2 0.875 0.125 0.750  0.32
Nb3 0.875 0.625 0.750  0.32
Nb4 0.375 0.125 0.250  0.32
O1 0.605 0.828 0.776  0.00
O2 0.052 0.828 0.224  0.00
O3 0.172 0.395 0.224  0.00
O4 0.172 0.948 0.776  0.00
O5 0.698 0.422 0.276  0.00
O6 0.145 0.422 0.724  0.00
O7 0.578 0.302 0.724  0.00
O8 0.578 0.855 0.276  0.00


6.
A relaxed KTc2PtO8 crystal. Source: the Alexandria database, functional PBE.

Output
Formation energy (no corrections) (kJ/mol of atoms): -116.7
Symmetry: P-3 (147)
DOS(E_F) (states/eV/cell): 4.7

Cell: 5.381 5.381 8.120 Å, 90.00 90.00 120.00°
Sites, in units of the cell vectors:
O1 0.703 0.040 0.346
O2 0.664 0.703 0.654
O3 0.960 0.664 0.346
O4 0.040 0.336 0.654
O5 0.297 0.960 0.654
O6 0.667 0.333 0.056
O7 0.336 0.297 0.346
O8 0.333 0.667 0.944
Tc1 0.333 0.667 0.729
Tc2 0.667 0.333 0.271
Pt1 0.000 0.000 0.500
K1 0.000 0.000 0.000


7.
A relaxed YTcSe2 crystal. Source: the Alexandria database, functional PBE.

Output
Formation energy (no corrections) (kJ/mol of atoms): -65.9
Symmetry: P4mm (99)
DOS(E_F) (states/eV/cell): 2.2
Relative energy among the computed polymorphs (eV per atom): 0.1273

Cell: 3.750 3.750 5.891 Å, 90.00 90.00 90.00°
Site moments in Bohr magnetons follow the coordinates.
Sites, in units of the cell vectors:
Tc1 0.000 0.000 0.446  1.52
Se1 0.000 0.000 0.934  0.00
Se2 0.500 0.500 0.325  0.01
Y1 0.500 0.500 0.795  -0.02


8.
A relaxed HfBi3S crystal. Source: the Alexandria database, functional PBE.

Output
Formation energy (no corrections) (kJ/mol of atoms): 53.1
Symmetry: Pm-3m (221)
DOS(E_F) (states/eV/cell): 5.6
Relative energy among the computed polymorphs (eV per atom): 0.0000

Cell: 5.577 5.577 5.577 Å, 90.00 90.00 90.00°
Site moments in Bohr magnetons follow the coordinates.
Sites, in units of the cell vectors:
Bi1 0.500 0.000 0.000  0.01
Bi2 0.000 0.000 0.500  -0.01
Bi3 0.000 0.500 0.000  -0.01
S1 0.500 0.500 0.500  0.34
Hf1 0.000 0.000 0.000  0.07


9.
A relaxed FeTe crystal. Source: the Alexandria database, functional PBE.

Output
Formation energy (no corrections) (kJ/mol of atoms): 16.2
Symmetry: Fddd (70)
DOS(E_F) (states/eV/cell): 28.1

Cell: 8.238 11.006 8.202 Å, 90.00 90.00 90.00°
Site moments in Bohr magnetons follow the coordinates.
Sites, in units of the cell vectors:
Fe1 0.250 0.140 0.250  2.55
Fe2 0.500 0.890 0.000  2.55
Fe3 0.000 0.610 0.000  2.55
Fe4 0.000 0.110 0.500  2.55
Fe5 0.250 0.360 0.250  2.55
Fe6 0.500 0.110 0.000  2.55
Fe7 0.000 0.890 0.500  2.55
Fe8 0.500 0.390 0.500  2.55
Fe9 0.750 0.360 0.750  2.55
Fe10 0.250 0.860 0.750  2.55
Fe11 0.500 0.610 0.500  2.55
Fe12 0.000 0.390 0.000  2.55
Fe13 0.250 0.640 0.750  2.55
Fe14 0.750 0.640 0.250  2.55
Fe15 0.750 0.140 0.750  2.55
Fe16 0.750 0.860 0.250  2.55
Te1 0.000 0.000 0.220  0.00
Te2 0.250 0.750 0.470  0.00
Te3 0.750 0.750 0.970  0.00
Te4 0.750 0.250 0.030  0.00
Te5 0.250 0.750 0.030  0.00
Te6 0.500 0.500 0.780  0.00
Te7 0.000 0.500 0.720  0.00
Te8 0.500 0.000 0.280  0.00
Te9 0.500 0.500 0.220  0.00
Te10 0.750 0.250 0.470  0.00
Te11 0.000 0.500 0.280  0.00
Te12 0.750 0.750 0.530  0.00
Te13 0.000 0.000 0.780  0.00
Te14 0.250 0.250 0.970  0.00
Te15 0.500 0.000 0.720  0.00
Te16 0.250 0.250 0.530  0.00


10.
A relaxed Nb2CdGe2 crystal. Source: the Alexandria database, functional PBE.

Output
Formation energy (eV/atom): -0.059
Symmetry: P4/mbm (127)
DOS(E_F) (states/eV/cell): 5.6
Relative energy among the computed polymorphs (eV per atom): 0.0373

Cell: 7.488 7.488 3.331 Å, 90.00 90.00 90.00°
Sites, in units of the cell vectors:
Nb1 0.870 0.630 0.000
Nb2 0.130 0.370 0.000
Nb3 0.370 0.870 0.000
Nb4 0.630 0.130 0.000
Ge1 0.163 0.663 0.500
Ge2 0.837 0.337 0.500
Ge3 0.337 0.163 0.500
Ge4 0.663 0.837 0.500
Cd1 0.500 0.500 0.000
Cd2 0.000 0.000 0.000


11.
A relaxed CrSbWI2 crystal. Source: the Alexandria database, functional PBE.

Output
Formation energy (no corrections) (kJ/mol of atoms): 159.2
Symmetry: P4/mmm (123)
DOS(E_F) (states/eV/cell): 6.7
Relative energy among the computed polymorphs (eV per atom): 0.5574

Cell: 5.189 5.189 5.255 Å, 90.00 90.00 90.00°
Site moments in Bohr magnetons follow the coordinates.
Sites, in units of the cell vectors:
W1 0.500 0.500 0.500  -0.18
Sb1 0.000 0.000 0.500  -0.11
I1 0.000 0.500 0.000  -0.02
I2 0.500 0.000 0.000  -0.02
Cr1 0.000 0.000 0.000  3.10


12.
A relaxed Mo2AsRh crystal. Source: the Alexandria database, functional PBE.

Output
Formation energy (eV/atom): 0.104
Symmetry: R3m (160)
DOS(E_F) (states/eV/cell): 3.3

Cell: 8.465 8.465 8.465 Å, 20.12 20.12 20.12°
Sites, in units of the cell vectors:
Mo1 0.250 0.250 0.250
Mo2 0.002 0.002 0.002
As1 0.749 0.749 0.749
Rh1 0.499 0.499 0.499


13.
A relaxed RbScCu2 crystal. Source: the Alexandria database, functional PBE.

Output
Formation energy (eV/atom): 0.663
Symmetry: I-42d (122)
DOS(E_F) (states/eV/cell): 4.0
Relative energy among the computed polymorphs (eV per atom): 0.0094

Cell: 7.861 7.861 6.645 Å, 53.74 53.74 90.00°
Sites, in units of the cell vectors:
Cu1 0.875 0.811 0.750
Cu2 0.561 0.125 0.250
Cu3 0.189 0.625 0.250
Cu4 0.375 0.439 0.750
Sc1 0.500 0.500 0.000
Sc2 0.250 0.750 0.500
Rb1 0.000 0.000 0.000
Rb2 0.750 0.250 0.500


14.
A relaxed GaMoPH2 crystal. Source: the Alexandria database, functional PBE.

Output
Symmetry: P4/mmm (123)
DOS(E_F) (states/eV/cell): 2.8

Cell: 3.545 5.047 3.545 Å, 90.00 90.00 90.00°
Site moments in Bohr magnetons follow the coordinates.
Sites, in units of the cell vectors:
P1 0.000 0.000 0.000  -0.02
H1 0.500 0.000 0.000  0.01
H2 0.000 0.000 0.500  0.01
Ga1 0.500 0.500 0.500  0.00
Mo1 0.000 0.500 0.000  0.48


15.
A relaxed La6TbPr2Tm crystal. Source: the Alexandria database, functional PBE.

Output
Formation energy (eV/atom): 0.112
Symmetry: C2/c (15)
DOS(E_F) (states/eV/cell): 25.3

Cell: 9.314 9.156 9.156 Å, 114.48 90.05 90.05°
Sites, in units of the cell vectors:
La1 0.908 0.924 0.223
La2 0.594 0.428 0.720
La3 0.906 0.280 0.572
La4 0.408 0.223 0.924
La5 0.094 0.720 0.428
La6 0.092 0.076 0.777
La7 0.681 0.970 0.533
La8 0.406 0.572 0.280
La9 0.181 0.533 0.970
La10 0.819 0.467 0.030
La11 0.592 0.777 0.076
La12 0.319 0.030 0.467
Pr1 0.062 0.295 0.206
Pr2 0.438 0.794 0.705
Pr3 0.938 0.705 0.794
Pr4 0.562 0.206 0.295
Tm1 0.750 0.569 0.431
Tm2 0.250 0.431 0.569
Tb1 0.750 0.068 0.932
Tb2 0.250 0.932 0.068


16.
A relaxed LiRuW2 crystal. Source: the Alexandria database, functional PBE.

Output
Formation energy (eV/atom): 0.883
Symmetry: I-42d (122)
DOS(E_F) (states/eV/cell): 7.3

Cell: 7.195 7.195 5.702 Å, 50.88 50.88 90.00°
Sites, in units of the cell vectors:
W1 0.660 0.125 0.250
W2 0.090 0.625 0.250
W3 0.375 0.340 0.750
W4 0.875 0.910 0.750
Li1 0.500 0.500 0.000
Li2 0.250 0.750 0.500
Ru1 0.000 0.000 0.000
Ru2 0.750 0.250 0.500


17.
A relaxed Sr2LaPt2 crystal. Source: the Alexandria database, functional PBE.

Output
Formation energy (eV/atom): -0.757
Symmetry: Ibam (72)
DOS(E_F) (states/eV/cell): 8.0
Relative energy among the computed polymorphs (eV per atom): 0.0245

Cell: 7.016 7.878 7.878 Å, 62.38 63.56 63.56°
Sites, in units of the cell vectors:
Sr1 0.656 0.719 0.969
Sr2 0.344 0.281 0.031
Sr3 0.844 0.031 0.281
Sr4 0.156 0.969 0.719
Pt1 0.094 0.651 0.160
Pt2 0.906 0.349 0.840
Pt3 0.594 0.160 0.651
Pt4 0.406 0.840 0.349
La1 0.250 0.500 0.500
La2 0.750 0.500 0.500


18.
A relaxed PBr2 crystal. Source: the Alexandria database, functional PBE.

Output
Formation energy (no corrections) (kJ/mol of atoms): 49.1
Symmetry: P-62m (189)
DOS(E_F) (states/eV/cell): 4.7

Cell: 8.434 8.434 3.527 Å, 90.00 90.00 120.00°
Sites, in units of the cell vectors:
Br1 0.225 0.000 0.000
Br2 0.775 0.775 0.000
Br3 0.000 0.548 0.500
Br4 0.548 0.000 0.500
Br5 0.000 0.225 0.000
Br6 0.452 0.452 0.500
P1 0.667 0.333 0.000
P2 0.000 0.000 0.500
P3 0.333 0.667 0.000


19.
A relaxed CuPtC3 crystal. Source: the Alexandria database, functional PBE.

Output
Formation energy (eV/atom): 2.697
Symmetry: Pm-3m (221)
DOS(E_F) (states/eV/cell): 2.5
Relative energy among the computed polymorphs (eV per atom): 0.0345

Cell: 3.808 3.808 3.808 Å, 90.00 90.00 90.00°
Sites, in units of the cell vectors:
Pt1 0.500 0.500 0.500
C1 0.000 0.000 0.500
C2 0.000 0.500 0.000
C3 0.500 0.000 0.000
Cu1 0.000 0.000 0.000


20.
A relaxed LaCoP2 crystal. Source: the Alexandria database, functional PBE.

Output
Formation energy (eV/atom): -0.281
Symmetry: P4mm (99)
DOS(E_F) (states/eV/cell): 3.4
Relative energy among the computed polymorphs (eV per atom): 0.6401

Cell: 3.300 3.301 6.373 Å, 90.00 90.00 90.00°
Sites, in units of the cell vectors:
La1 0.500 0.500 0.770
P1 0.500 0.500 0.286
P2 0.000 0.000 0.053
Co1 0.000 0.000 0.391


In order of appearance, total DFT energy (no corrections) = -8.198, -3.874, -4.330, -1.314, -7.521, -6.837, -6.633, -4.595, -5.634, -6.117, -4.309, -8.312, -3.210, -4.732, -4.711, -8.391, -4.832, -2.410, -4.865, -5.994 eV per atom.
In order of appearance, total moment = 0.00, 0.00, 0.00, 0.00, 0.11, 0.00, 0.42, 0.13, 1.33, 0.00, 0.57, 0.00, 0.00, 0.12, 0.00, 0.00, 0.00, 0.00, 0.00, 0.00 μB per atom.